# 1
Density functional theory data (PBE) for an optimized crystal structure of Ba2Zn2BiO6.

Properties
Uncorrected formation energy: -1699 meV per atom
DOS(E_F): 0.206 states/eV/atom

Geometry as CIF:
```
data_Ba2Zn2BiO6
_space_group_name_H-M_alt 'R -3 m'
_space_group_IT_number 166
_space_group_name_Hall '-R 3 2"'
_cell_length_a 6.1655
_cell_length_b 6.1655
_cell_length_c 17.3811
_cell_angle_alpha 90.00
_cell_angle_beta 90.00
_cell_angle_gamma 120.00
loop_
_atom_site_label
_atom_site_type_symbol
_atom_site_fract_x
_atom_site_fract_y
_atom_site_fract_z
_atom_site_occupancy
Ba1 Ba 0.0000 0.0000 0.2128 1
Zn1 Zn 0.0000 0.0000 0.4192 1
Bi1 Bi 0.0000 0.0000 0.0000 1
O1 O 0.0197 0.5099 0.7536 1
```

---

# 2
Density functional theory data (PBE) for an optimized crystal structure of Ba3Zn2BiO8.

Properties
Uncorrected formation energy: -1718 meV per atom
DOS(E_F): 0.616 states/eV/atom

Geometry as CIF:
```
data_Ba3Zn2BiO8
_space_group_name_H-M_alt 'P -3 m 1'
_space_group_IT_number 164
_space_group_name_Hall '-P 3 2"'
_cell_length_a 6.0043
_cell_length_b 6.0043
_cell_length_c 7.6880
_cell_angle_alpha 90.00
_cell_angle_beta 90.00
_cell_angle_gamma 120.00
loop_
_atom_site_label
_atom_site_type_symbol
_atom_site_fract_x
_atom_site_fract_y
_atom_site_fract_z
_atom_site_occupancy
Ba1 Ba 0.0000 0.0000 0.0000 1
Ba2 Ba 0.3333 0.6667 0.6489 1
Zn1 Zn 0.3333 0.6667 0.2154 1
Bi1 Bi 0.0000 0.0000 0.5000 1
O1 O 0.1629 0.3259 0.3293 1
O2 O 0.3333 0.6667 0.9751 1
```

---

# 3
Density functional theory data (PBE) for an optimized crystal structure of BaZn2Bi2O6.

Properties
Uncorrected formation energy: -1450 meV per atom
DOS(E_F): 0.000 states/eV/atom

Geometry as CIF:
```
data_BaZn2Bi2O6
_space_group_name_H-M_alt 'P -1'
_space_group_IT_number 2
_cell_length_a 6.495
_cell_length_b 6.696
_cell_length_c 6.725
_cell_angle_alpha 119.40
_cell_angle_beta 118.84
_cell_angle_gamma 90.07
loop_
_space_group_symop_operation_xyz
'x,y,z'
'-x,-y,-z'
loop_
_atom_site_label
_atom_site_type_symbol
_atom_site_fract_x
_atom_site_fract_y
_atom_site_fract_z
_atom_site_occupancy
Ba1 Ba 0.000 0.000 0.000 1
Zn1 Zn 0.312 0.287 0.776 1
Bi1 Bi 0.320 0.683 0.364 1
O1 O 0.141 0.330 0.943 1
O2 O 0.317 0.365 0.533 1
O3 O 0.422 0.863 0.210 1
```